## 1
An optimized crystal structure of Rb2GeAu3, computed with PBE-GGA.

Summary:
- Calculated density: 7.12 g cm⁻³
- Spin magnetization: 0.00 μB/cell

The structure in CIF format:
```
data_Rb2GeAu3
_symmetry_space_group_name_H-M 'C m c m'
_symmetry_Int_Tables_number 63
_symmetry_space_group_name_Hall '-C 2c 2'
_cell_length_a 14.025
_cell_length_b 9.985
_cell_length_c 5.560
_cell_angle_alpha 90.00
_cell_angle_beta 90.00
_cell_angle_gamma 90.00
loop_
_atom_site_label
_atom_site_fract_x
_atom_site_fract_y
_atom_site_fract_z
Rb1 0.155 0.172 0.250
Ge1 0.000 0.360 0.750
Au1 0.000 0.099 0.750
Au2 0.124 0.500 0.000
```

***

## 2
An optimized crystal structure of Rb2GeAu3, computed with PBE-GGA.

Summary:
- Calculated density: 8.27 g cm⁻³
- Spin magnetization: 0.00 μB/cell

The structure in CIF format:
```
data_Rb2GeAu3
_symmetry_space_group_name_H-M 'P m m a'
_symmetry_Int_Tables_number 51
_cell_length_a 5.832
_cell_length_b 6.602
_cell_length_c 8.702
_cell_angle_alpha 90.00
_cell_angle_beta 90.00
_cell_angle_gamma 90.00
loop_
_symmetry_equiv_pos_as_xyz
'x,y,z'
'-x,-y,-z'
'-x+1/2,-y,z'
'x+1/2,y,-z'
'x+1/2,-y,-z'
'-x+1/2,y,z'
'-x,y,-z'
'x,-y,z'
loop_
_atom_site_label
_atom_site_fract_x
_atom_site_fract_y
_atom_site_fract_z
Rb1 0.250 0.000 0.122
Rb2 0.250 0.500 0.360
Ge1 0.250 0.500 0.931
Au1 0.000 0.000 0.500
Au2 0.250 0.220 0.733
```

***

List of relative energies, unit eV/atom: 1 0.098; 2 0.000

***

## 1
An optimized crystal structure of RbGe2Au4, computed with PBE-GGA.

Summary:
- Calculated density: 11.22 g cm⁻³
- Spin magnetization: 0.00 μB/cell

The structure in CIF format:
```
data_RbGe2Au4
_symmetry_space_group_name_H-M 'P 42/m n m'
_symmetry_Int_Tables_number 136
_symmetry_space_group_name_Hall '-P 4n 2n'
_cell_length_a 8.680
_cell_length_b 8.680
_cell_length_c 4.004
_cell_angle_alpha 90.00
_cell_angle_beta 90.00
_cell_angle_gamma 90.00
loop_
_atom_site_label
_atom_site_fract_x
_atom_site_fract_y
_atom_site_fract_z
Rb1 0.000 0.000 0.000
Ge1 0.225 0.225 0.500
Au1 0.074 0.669 0.500
```

***

## 2
An optimized crystal structure of RbGe2Au4, computed with PBE-GGA.

Summary:
- Calculated density: 10.69 g cm⁻³
- Spin magnetization: 0.00 μB/cell

The structure in CIF format:
```
data_RbGe2Au4
_symmetry_space_group_name_H-M 'C m m m'
_symmetry_Int_Tables_number 65
_symmetry_space_group_name_Hall '-C 2 2'
_cell_length_a 4.656
_cell_length_b 14.281
_cell_length_c 4.758
_cell_angle_alpha 90.00
_cell_angle_beta 90.00
_cell_angle_gamma 90.00
loop_
_atom_site_label
_atom_site_fract_x
_atom_site_fract_y
_atom_site_fract_z
Rb1 0.000 0.000 0.000
Ge1 0.000 0.397 0.500
Au1 0.000 0.186 0.500
Au2 0.000 0.316 0.000
```

***

List of relative energies, unit eV/atom: 1 0.059; 2 0.000

***

## 1
An optimized crystal structure of Re3GeAu, computed with PBE-GGA.

Summary:
- Calculated density: 11.92 g cm⁻³
- Spin magnetization: 4.69 μB/cell

The structure in CIF format:
```
data_Re3GeAu
_symmetry_space_group_name_H-M 'P m -3 m'
_symmetry_Int_Tables_number 221
_symmetry_space_group_name_Hall '-P 4 2 3'
_cell_length_a 4.869
_cell_length_b 4.869
_cell_length_c 4.869
_cell_angle_alpha 90.00
_cell_angle_beta 90.00
_cell_angle_gamma 90.00
loop_
_atom_site_label
_atom_site_fract_x
_atom_site_fract_y
_atom_site_fract_z
Re1 0.000 0.000 0.500
Ge1 0.500 0.500 0.500
Au1 0.000 0.000 0.000
```

***

## 2
An optimized crystal structure of Re3GeAu, computed with PBE-GGA.

Summary:
- Calculated density: 14.78 g cm⁻³
- Spin magnetization: 0.00 μB/cell

The structure in CIF format:
```
data_Re3GeAu
_symmetry_space_group_name_H-M 'P m -3 m'
_symmetry_Int_Tables_number 221
_symmetry_space_group_name_Hall '-P 4 2 3'
_cell_length_a 4.531
_cell_length_b 4.531
_cell_length_c 4.531
_cell_angle_alpha 90.00
_cell_angle_beta 90.00
_cell_angle_gamma 90.00
loop_
_atom_site_label
_atom_site_fract_x
_atom_site_fract_y
_atom_site_fract_z
Re1 0.000 0.000 0.500
Ge1 0.000 0.000 0.000
Au1 0.500 0.500 0.500
```

***

List of relative energies, unit eV/atom: 1 1.104; 2 0.000

***

## 1
An optimized crystal structure of GeRh3Au, computed with PBE-GGA.

Summary:
- Calculated density: 8.39 g cm⁻³
- Spin magnetization: 0.30 μB/cell

The structure in CIF format:
```
data_GeRh3Au
_symmetry_space_group_name_H-M 'P m -3 m'
_symmetry_Int_Tables_number 221
_symmetry_space_group_name_Hall '-P 4 2 3'
_cell_length_a 4.854
_cell_length_b 4.854
_cell_length_c 4.854
_cell_angle_alpha 90.00
_cell_angle_beta 90.00
_cell_angle_gamma 90.00
loop_
_atom_site_label
_atom_site_fract_x
_atom_site_fract_y
_atom_site_fract_z
Ge1 0.000 0.000 0.000
Rh1 0.000 0.500 0.500
Au1 0.500 0.500 0.500
```

***

## 2
An optimized crystal structure of GeRh3Au, computed with PBE-GGA.

Summary:
- Calculated density: 10.29 g cm⁻³
- Spin magnetization: 1.64 μB/cell

The structure in CIF format:
```
data_GeRh3Au
_symmetry_space_group_name_H-M 'P m -3 m'
_symmetry_Int_Tables_number 221
_symmetry_space_group_name_Hall '-P 4 2 3'
_cell_length_a 4.536
_cell_length_b 4.536
_cell_length_c 4.536
_cell_angle_alpha 90.00
_cell_angle_beta 90.00
_cell_angle_gamma 90.00
loop_
_atom_site_label
_atom_site_fract_x
_atom_site_fract_y
_atom_site_fract_z
Ge1 0.000 0.000 0.000
Rh1 0.000 0.000 0.500
Au1 0.500 0.500 0.500
```

***

List of relative energies, unit eV/atom: 1 0.977; 2 0.000

***

## 1
An optimized crystal structure of GeRhAu3, computed with PBE-GGA.

Summary:
- Calculated density: 11.70 g cm⁻³
- Spin magnetization: 0.00 μB/cell

The structure in CIF format:
```
data_GeRhAu3
_symmetry_space_group_name_H-M 'P m -3 m'
_symmetry_Int_Tables_number 221
_symmetry_space_group_name_Hall '-P 4 2 3'
_cell_length_a 4.773
_cell_length_b 4.773
_cell_length_c 4.773
_cell_angle_alpha 90.00
_cell_angle_beta 90.00
_cell_angle_gamma 90.00
loop_
_atom_site_label
_atom_site_fract_x
_atom_site_fract_y
_atom_site_fract_z
Ge1 0.000 0.000 0.000
Rh1 0.500 0.500 0.500
Au1 0.000 0.000 0.500
```

***

## 2
An optimized crystal structure of GeRhAu3, computed with PBE-GGA.

Summary:
- Calculated density: 10.20 g cm⁻³
- Spin magnetization: 0.00 μB/cell

The structure in CIF format:
```
data_GeRhAu3
_symmetry_space_group_name_H-M 'P m -3 m'
_symmetry_Int_Tables_number 221
_symmetry_space_group_name_Hall '-P 4 2 3'
_cell_length_a 4.998
_cell_length_b 4.998
_cell_length_c 4.998
_cell_angle_alpha 90.00
_cell_angle_beta 90.00
_cell_angle_gamma 90.00
loop_
_atom_site_label
_atom_site_fract_x
_atom_site_fract_y
_atom_site_fract_z
Ge1 0.000 0.000 0.000
Rh1 0.500 0.500 0.500
Au1 0.000 0.500 0.500
```

***

List of relative energies, unit eV/atom: 1 0.000; 2 0.181